Record 1
## Tb5PmSc3 (GGA-PBE)

Data for a relaxed structure of Tb5PmSc3.

Output
DFT formation energy = 0.4586 eV/atom
V = 1206.6 Å³ per cell

The structure in CIF format:
```
data_Tb5PmSc3
_chemical_formula_sum 'Tb20 Pm4 Sc12'
_cell_length_a 14.605
_cell_length_b 11.213
_cell_length_c 9.578
_cell_angle_alpha 90.00
_cell_angle_beta 129.71
_cell_angle_gamma 90.00
_space_group_name_H-M_alt 'C 1 2/m 1'
_space_group_IT_number 12
_space_group_name_Hall '-C 2y'
loop_
_atom_site_label
_atom_site_type_symbol
_atom_site_fract_x
_atom_site_fract_y
_atom_site_fract_z
Tb1 Tb 0.000 0.244 0.000
Tb2 Tb 0.134 0.248 0.742
Tb3 Tb 0.221 0.500 0.040
Tb4 Tb 0.226 0.000 0.232
Pm1 Pm 0.246 0.000 0.588
Sc1 Sc 0.000 0.000 0.500
Sc2 Sc 0.000 0.500 0.000
Sc3 Sc 0.009 0.000 0.820
Sc4 Sc 0.017 0.500 0.360
```

=====

Record 2
## HgAsOs2 (GGA-PBE)

Data for a relaxed structure of HgAsOs2.

Output
DFT formation energy = 0.9313 eV/atom
Excess energy over the best structure of this formula in the dataset = 0.536 eV per atom
V = 256.7 Å³ per cell

The structure in CIF format:
```
data_HgAsOs2
_chemical_formula_sum 'Hg4 As4 Os8'
_cell_length_a 6.355
_cell_length_b 6.355
_cell_length_c 6.355
_cell_angle_alpha 90.00
_cell_angle_beta 90.00
_cell_angle_gamma 90.00
_space_group_name_H-M_alt 'F m -3 m'
_space_group_IT_number 225
_space_group_name_Hall '-F 4 2 3'
loop_
_atom_site_label
_atom_site_type_symbol
_atom_site_fract_x
_atom_site_fract_y
_atom_site_fract_z
Hg1 Hg 0.000 0.000 0.000
As1 As 0.000 0.000 0.500
Os1 Os 0.250 0.250 0.250
```

=====

Record 3
## SiBSeS (GGA-PBE)

Data for a relaxed structure of SiBSeS.

Output
Excess energy over the best structure of this formula in the dataset = 0.071 eV per atom
V = 82.1 Å³ per cell
E_form (uncorrected) = -0.18 eV/atom

The structure in CIF format:
```
data_SiBSeS
_chemical_formula_sum 'Si1 B1 Se1 S1'
_cell_length_a 3.235
_cell_length_b 3.340
_cell_length_c 7.747
_cell_angle_alpha 90.20
_cell_angle_beta 101.40
_cell_angle_gamma 90.00
_space_group_name_H-M_alt 'P 1'
_space_group_IT_number 1
_space_group_name_Hall 'P 1'
loop_
_atom_site_label
_atom_site_type_symbol
_atom_site_fract_x
_atom_site_fract_y
_atom_site_fract_z
Si1 Si 0.000 0.000 0.000
B1 B 0.074 0.501 0.157
Se1 Se 0.399 0.998 0.787
S1 S 0.641 0.502 0.298
```

=====

Record 4
## Nd2ScF (GGA-PBE)

Data for a relaxed structure of Nd2ScF.

Output
V = 296.7 Å³ per cell
E_form (uncorrected) = -0.89 eV/atom

The structure in CIF format:
```
data_Nd2ScF
_chemical_formula_sum 'Nd6 Sc3 F3'
_cell_length_a 3.3358
_cell_length_b 3.3358
_cell_length_c 30.7914
_cell_angle_alpha 90.00
_cell_angle_beta 90.00
_cell_angle_gamma 120.00
_space_group_name_H-M_alt 'R -3 m'
_space_group_IT_number 166
_space_group_name_Hall '-R 3 2"'
loop_
_atom_site_label
_atom_site_type_symbol
_atom_site_fract_x
_atom_site_fract_y
_atom_site_fract_z
Nd1 Nd 0.0000 0.0000 0.1038
Sc1 Sc 0.0000 0.0000 0.0000
F1 F 0.0000 0.0000 0.5000
```

=====

Which formula does entry 2 have? HgAsOs2